Record 1
Computed, not measured: B2S3 after structural relaxation at the PBE-GGA level of DFT.

Calculated values
The uncorrected formation energy comes out at -432 meV per atom. As for the total energy: -223.2 eV/cell. As for the symmetry: P2_1/c. As for the distance to the lowest polymorph of the same formula: 0.000 eV per atom.

a = 10.9276 Å, b = 4.7557 Å, c = 19.6971 Å
α = 89.95°, β = 90.00°, γ = 90.00°
Positions (direct):
B 0.3028 0.7322 0.8998
B 0.9812 0.5898 0.3146
B 0.1972 0.7322 0.3998
B 0.4812 0.4102 0.1854
B 0.0188 0.4102 0.6854
B 0.8028 0.2678 0.6002
B 0.7667 0.4749 0.7398
B 0.2667 0.5251 0.7602
B 0.5188 0.5898 0.8146
B 0.2333 0.5251 0.2602
B 0.9033 0.0641 0.0104
B 0.4033 0.9359 0.4896
B 0.0967 0.9359 0.9896
B 0.5967 0.0641 0.5104
B 0.6972 0.2678 0.1002
B 0.7333 0.4749 0.2398
S 0.6900 0.3544 0.6640
S 0.1863 0.4139 0.6834
S 0.7571 0.1471 0.5154
S 0.8100 0.3544 0.1640
S 0.7429 0.1471 0.0154
S 0.5322 0.2850 0.1030
S 0.2571 0.8529 0.9846
S 0.0705 0.4869 0.2422
S 0.4678 0.7150 0.8970
S 0.4295 0.4869 0.7422
S 0.9678 0.2850 0.6030
S 0.3100 0.6456 0.3360
S 0.8137 0.5861 0.3166
S 0.9295 0.5131 0.7578
S 0.0310 0.0615 0.0703
S 0.5310 0.9385 0.4297
S 0.9690 0.9385 0.9297
S 0.6863 0.5861 0.8166
S 0.4690 0.0615 0.5703
S 0.3137 0.4139 0.1834
S 0.2429 0.8529 0.4846
S 0.0322 0.7150 0.3970
S 0.1900 0.6456 0.8360
S 0.5705 0.5131 0.2578

=====

Record 2
Computed, not measured: TmHf2Ga6 after structural relaxation at the PBE-GGA level of DFT.

Calculated values
The formation energy comes out at -35.33 kJ per mole of atoms. As for the total energy: -45.8 eV/cell. As for the symmetry: Immm. As for the distance to the lowest polymorph of the same formula: 0.017 eV per atom.

a = 4.1269 Å, b = 7.5677 Å, c = 7.5677 Å
α = 51.93°, β = 74.18°, γ = 74.18°
Positions (direct):
Tm 0.0000 0.0000 0.0000
Hf 0.8815 0.6185 0.6185
Hf 0.1185 0.3815 0.3815
Ga 0.6905 0.0135 0.6056
Ga 0.3095 0.9865 0.3944
Ga 0.3095 0.3944 0.9865
Ga 0.5000 0.6916 0.3084
Ga 0.5000 0.3084 0.6916
Ga 0.6905 0.6056 0.0135